Record 1
First-principles (PBE-GGA) data for GaReAs2 after structural relaxation, as listed in Alexandria.

Formation energy: 329 meV/atom
Spin magnetization: 0.0000 μB per atom

abc: 5.678 5.678 7.075
angles: 66.34 66.34 90.00
Fractional positions:
As 0.875 0.901 0.750
Ga 0.500 0.500 0.000
Re 0.750 0.250 0.500
As 0.375 0.349 0.750
As 0.099 0.625 0.250
Ga 0.250 0.750 0.500
As 0.651 0.125 0.250
Re 0.000 0.000 0.000

---

Record 2
First-principles (PBE-GGA) data for Ga2ReAs after structural relaxation, as listed in Alexandria.

Formation energy: 901 meV/atom
Spin magnetization: 0.5000 μB per atom

abc: 5.861 5.861 7.023
angles: 65.34 65.34 90.00
Fractional positions:
As 0.250 0.750 0.500
Ga 0.875 0.874 0.750
Re 0.000 0.000 0.000
Re 0.750 0.250 0.500
Ga 0.624 0.125 0.250
Ga 0.375 0.376 0.750
As 0.500 0.500 0.000
Ga 0.126 0.625 0.250

---

Record 3
First-principles (PBE-GGA) data for GaRe2As after structural relaxation, as listed in Alexandria.

Formation energy: 324 meV/atom
Spin magnetization: 0.0000 μB per atom
Relative energy among the computed polymorphs: 0.0000 eV/atom

abc: 4.358 4.358 4.358
angles: 60.00 60.00 60.00
Fractional positions:
Re 0.250 0.250 0.250
Ga 0.000 0.000 0.000
As 0.500 0.500 0.500
Re 0.750 0.750 0.750

---

Record 4
First-principles (PBE-GGA) data for GaRe2As after structural relaxation, as listed in Alexandria.

Formation energy: 816 meV/atom
Spin magnetization: 0.0000 μB per atom
Relative energy among the computed polymorphs: 0.4921 eV/atom

abc: 7.459 7.459 5.838
angles: 50.30 50.30 90.00
Fractional positions:
Re 0.875 0.941 0.750
Re 0.691 0.125 0.250
Ga 0.250 0.750 0.500
As 0.750 0.250 0.500
Re 0.375 0.309 0.750
Ga 0.500 0.500 0.000
As 0.000 0.000 0.000
Re 0.059 0.625 0.250

---

Record 5
First-principles (PBE-GGA) data for GaReAs3 after structural relaxation, as listed in Alexandria.

Formation energy: 562 meV/atom
Spin magnetization: 0.0000 μB per atom
Relative energy among the computed polymorphs: 0.0000 eV/atom

abc: 4.882 4.882 4.882
angles: 90.00 90.00 90.00
Fractional positions:
As 0.000 0.500 0.000
Re 0.000 0.000 0.000
As 0.000 0.000 0.500
Ga 0.500 0.500 0.500
As 0.500 0.000 0.000

---

Record 6
First-principles (PBE-GGA) data for GaReAs2Se after structural relaxation, as listed in Alexandria.

Energy relative to the elements, uncorrected: 1.443 eV per atom
Spin magnetization: 0.5371 μB per atom
Relative energy among the computed polymorphs: 0.9616 eV/atom

abc: 4.777 4.777 4.899
angles: 90.00 90.00 90.00
Fractional positions:
Ga 0.000 0.000 0.000
As 0.000 0.500 0.000
Se 0.000 0.000 0.500
Re 0.500 0.500 0.500
As 0.500 0.000 0.000

---

Record 7
First-principles (PBE-GGA) data for GaReAsSe2 after structural relaxation, as listed in Alexandria.

Energy relative to the elements, uncorrected: 0.445 eV per atom
Spin magnetization: 0.0000 μB per atom
Relative energy among the computed polymorphs: 0.0000 eV/atom

abc: 5.015 5.015 4.789
angles: 90.00 90.00 90.00
Fractional positions:
Se 0.500 0.000 0.000
Ga 0.500 0.500 0.500
Re 0.000 0.000 0.000
Se 0.000 0.500 0.000
As 0.000 0.000 0.500

---

Record 8
First-principles (PBE-GGA) data for GaReAs2Se after structural relaxation, as listed in Alexandria.

Energy relative to the elements, uncorrected: 0.482 eV per atom
Spin magnetization: 0.0322 μB per atom
Relative energy among the computed polymorphs: 0.0000 eV/atom

abc: 4.729 4.729 5.507
angles: 90.00 90.00 90.00
Fractional positions:
As 0.500 0.000 0.000
As 0.000 0.500 0.000
Re 0.000 0.000 0.000
Se 0.000 0.000 0.500
Ga 0.500 0.500 0.500

---

Record 9
First-principles (PBE-GGA) data for GaReAsSe2 after structural relaxation, as listed in Alexandria.

Energy relative to the elements, uncorrected: 1.348 eV per atom
Spin magnetization: 0.6215 μB per atom
Relative energy among the computed polymorphs: 0.9039 eV/atom

abc: 4.888 4.888 4.837
angles: 90.00 90.00 90.00
Fractional positions:
Se 0.500 0.000 0.000
Se 0.000 0.500 0.000
Ga 0.000 0.000 0.000
Re 0.500 0.500 0.500
As 0.000 0.000 0.500

---

Record 10
First-principles (PBE-GGA) data for Ga2ReTcAs after structural relaxation, as listed in Alexandria.

Formation energy: 1002 meV/atom
Spin magnetization: 0.2392 μB per atom

abc: 4.754 4.767 4.754
angles: 90.00 90.00 90.00
Fractional positions:
Tc 0.000 0.000 0.000
As 0.500 0.500 0.500
Re 0.000 0.500 0.000
Ga 0.000 0.000 0.500
Ga 0.500 0.000 0.000

---

Record 11
First-principles (PBE-GGA) data for TiGaReAs2 after structural relaxation, as listed in Alexandria.

Formation energy: 1423 meV/atom
Spin magnetization: 0.3491 μB per atom

abc: 4.717 4.682 4.717
angles: 90.00 90.00 90.00
Fractional positions:
Ti 0.000 0.500 0.000
Ga 0.000 0.000 0.000
Re 0.500 0.500 0.500
As 0.500 0.000 0.000
As 0.000 0.000 0.500

---

Record 12
First-principles (PBE-GGA) data for Ga2AsRh2 after structural relaxation, as listed in Alexandria.

Formation energy: -269 meV/atom
Spin magnetization: 0.0000 μB per atom
Relative energy among the computed polymorphs: 0.1389 eV/atom

abc: 3.566 3.566 6.810
angles: 74.82 74.82 90.00
Fractional positions:
Ga 0.750 0.250 0.500
Ga 0.250 0.750 0.500
Rh 0.606 0.606 0.788
As 0.000 0.000 0.000
Rh 0.394 0.394 0.212

---

Record 13
First-principles (PBE-GGA) data for GaAsRh3 after structural relaxation, as listed in Alexandria.

Formation energy: -370 meV/atom
Spin magnetization: 0.0000 μB per atom
Relative energy among the computed polymorphs: 0.0000 eV/atom

abc: 4.145 5.373 7.359
angles: 90.00 90.00 90.00
Fractional positions:
Ga 0.000 0.653 0.352
Ga 0.000 0.153 0.648
Rh 0.000 0.618 0.698
As 0.500 0.735 0.841
As 0.500 0.235 0.159
Rh 0.500 0.273 0.838
Rh 0.500 0.417 0.461
Rh 0.500 0.773 0.162
Rh 0.500 0.917 0.539
Rh 0.000 0.118 0.302

---

Record 14
First-principles (PBE-GGA) data for GaAsRh after structural relaxation, as listed in Alexandria.

Formation energy: -375 meV/atom
Spin magnetization: 0.0000 μB per atom
Relative energy among the computed polymorphs: 0.0075 eV/atom

abc: 5.947 6.701 6.702
angles: 128.26 90.00 90.00
Fractional positions:
Ga 0.123 0.349 0.900
As 0.888 0.168 0.082
As 0.888 0.668 0.582
As 0.388 0.832 0.918
Rh 0.991 0.262 0.488
Ga 0.124 0.849 0.400
As 0.388 0.332 0.418
Ga 0.623 0.651 0.100
Rh 0.991 0.762 0.988
Ga 0.624 0.151 0.600
Rh 0.491 0.738 0.512
Rh 0.491 0.238 0.012

---

Record 15
First-principles (PBE-GGA) data for GaAsRh3 after structural relaxation, as listed in Alexandria.

Formation energy: 734 meV/atom
Spin magnetization: 0.2264 μB per atom
Relative energy among the computed polymorphs: 1.1041 eV/atom

abc: 4.541 4.541 4.541
angles: 90.00 90.00 90.00
Fractional positions:
Rh 0.000 0.500 0.000
As 0.500 0.500 0.500
Rh 0.000 0.000 0.500
Ga 0.000 0.000 0.000
Rh 0.500 0.000 0.000

---

Record 16
First-principles (PBE-GGA) data for GaAsRh3 after structural relaxation, as listed in Alexandria.

Formation energy: 355 meV/atom
Spin magnetization: 0.0000 μB per atom
Relative energy among the computed polymorphs: 0.7249 eV/atom

abc: 4.530 4.530 4.530
angles: 90.00 90.00 90.00
Fractional positions:
Rh 0.500 0.000 0.000
Ga 0.500 0.500 0.500
Rh 0.000 0.000 0.500
Rh 0.000 0.500 0.000
As 0.000 0.000 0.000

---

Record 17
First-principles (PBE-GGA) data for Ga2AsRh2 after structural relaxation, as listed in Alexandria.

Formation energy: -408 meV/atom
Spin magnetization: 0.0000 μB per atom
Relative energy among the computed polymorphs: 0.0000 eV/atom

abc: 7.300 7.300 2.913
angles: 90.00 90.00 90.00
Fractional positions:
As 0.500 0.500 0.000
Rh 0.653 0.153 0.000
Rh 0.153 0.347 0.000
As 0.000 0.000 0.000
Ga 0.856 0.356 0.500
Rh 0.847 0.653 0.000
Ga 0.356 0.144 0.500
Ga 0.644 0.856 0.500
Ga 0.144 0.644 0.500
Rh 0.347 0.847 0.000

---

Record 18
First-principles (PBE-GGA) data for Ga2AsRh2 after structural relaxation, as listed in Alexandria.

Formation energy: -317 meV/atom
Spin magnetization: 0.0000 μB per atom
Relative energy among the computed polymorphs: 0.0910 eV/atom

abc: 7.344 7.344 2.897
angles: 90.00 90.00 90.00
Fractional positions:
Ga 0.638 0.138 0.000
As 0.000 0.000 0.000
Rh 0.843 0.343 0.500
As 0.500 0.500 0.000
Rh 0.157 0.657 0.500
Ga 0.862 0.638 0.000
Ga 0.138 0.362 0.000
Rh 0.657 0.843 0.500
Ga 0.362 0.862 0.000
Rh 0.343 0.157 0.500

---

Record 19
First-principles (PBE-GGA) data for GaAsRh after structural relaxation, as listed in Alexandria.

Formation energy: -382 meV/atom
Spin magnetization: 0.0000 μB per atom
Relative energy among the computed polymorphs: 0.0000 eV/atom

abc: 4.209 4.209 4.209
angles: 60.00 60.00 60.00
Fractional positions:
Ga 0.500 0.500 0.500
Rh 0.250 0.250 0.250
As 0.000 0.000 0.000

---

Record 20
First-principles (PBE-GGA) data for Ga2AsRh2 after structural relaxation, as listed in Alexandria.

Formation energy: -1 meV/atom
Spin magnetization: 0.0000 μB per atom
Relative energy among the computed polymorphs: 0.4065 eV/atom

abc: 4.293 4.293 5.644
angles: 67.64 67.64 90.00
Fractional positions:
Ga 0.628 0.628 0.745
Ga 0.372 0.372 0.255
Rh 0.750 0.250 0.500
Rh 0.250 0.750 0.500
As 0.000 0.000 0.000

---

| no. | VASP energy (eV/f.u.) | V (Å³/cell) | ρ (g/cm3) |
| --- | --- | --- | --- |
| 1 | -23.457 | 187.79 | 7.18 |
| 2 | -19.546 | 194.78 | 6.83 |
| 3 | -31.275 | 58.51 | 14.67 |
| 4 | -29.307 | 139.25 | 12.33 |
| 5 | -26.616 | 116.37 | 6.86 |
| 6 | -21.042 | 111.78 | 7.20 |
| 7 | -24.871 | 120.45 | 6.74 |
| 8 | -25.850 | 123.16 | 6.54 |
| 9 | -20.351 | 115.59 | 7.02 |
| 10 | -28.506 | 107.74 | 7.68 |
| 11 | -25.554 | 104.16 | 7.23 |
| 12 | -26.750 | 80.44 | 8.67 |
| 13 | -31.580 | 163.90 | 9.19 |
| 14 | -16.153 | 209.73 | 7.84 |
| 15 | -26.060 | 93.62 | 8.04 |
| 16 | -27.956 | 92.97 | 8.10 |
| 17 | -27.445 | 155.25 | 8.99 |
| 18 | -26.990 | 156.24 | 8.93 |
| 19 | -16.175 | 52.73 | 7.80 |
| 20 | -25.412 | 87.71 | 7.96 |